(1)
DFT (PBE-GGA) results for an optimized crystal structure of La2ScCu9.

The energy of formation comes out at -1.314 eV per formula unit.

The structure belongs to space group R-3m (No. 166, hexagonal axes); the cell edges are 5.1347, 5.1347 and 25.8204 Å and the angles 90.00°, 90.00° and 120.00°. The distinct sites, in fractional coordinates, are La at (0.0000, 0.0000, 0.1385), Sc at (0.0000, 0.0000, 0.0000), Cu at (0.0000, 0.0000, 0.3322), Cu at (0.0000, 0.0000, 0.5000) and Cu at (0.0028, 0.5014, 0.0777).

(2)
DFT (PBE-GGA) results for an optimized crystal structure of La4PrHoTm2.

The energy of formation comes out at 0.644 eV per formula unit.

The structure belongs to space group P4/mmm (No. 123); the cell edges are 5.9696, 5.9696 and 7.7738 Å and the angles 90.00°, 90.00° and 90.00°. The distinct sites, in fractional coordinates, are La at (0.0000, 0.5000, 0.2389), Pr at (0.0000, 0.0000, 0.5000), Ho at (0.5000, 0.5000, 0.5000), Tm at (0.0000, 0.0000, 0.0000) and Tm at (0.5000, 0.5000, 0.0000).

(3)
DFT (PBE-GGA) results for an optimized crystal structure of ErRe3Si3.

The formation energy (no corrections) comes out at 0.493 eV per atom.

The structure belongs to space group Pm-3n (No. 223); the cell edges are 6.6017, 6.6017 and 6.6017 Å and the angles 90.00°, 90.00° and 90.00°. The distinct sites, in fractional coordinates, are Er at (0.0000, 0.0000, 0.0000), Re at (0.0000, 0.2500, 0.5000) and Si at (0.0000, 0.5000, 0.2500).

(4)
DFT (PBE-GGA) results for an optimized crystal structure of SrInMo4.

The energy of formation comes out at 3.368 eV per formula unit.

The structure belongs to space group F-43m (No. 216); the cell edges are 7.7901, 7.7901 and 7.7901 Å and the angles 90.00°, 90.00° and 90.00°. The distinct sites, in fractional coordinates, are Sr at (0.0000, 0.0000, 0.0000), In at (0.2500, 0.2500, 0.7500) and Mo at (0.1255, 0.1255, 0.3745).

(5)
DFT (PBE-GGA) results for an optimized crystal structure of Rb3In4Sn2.

Its polymorph energy (0 for the lowest one) is 39 meV/atom. The energy of formation comes out at -0.899 eV per formula unit.

The structure belongs to space group P-1 (No. 2); the cell edges are 5.0371, 7.7567 and 10.1050 Å and the angles 69.31°, 75.65° and 71.06°. The distinct sites, in fractional coordinates, are Rb at (0.0000, 0.0000, 0.0000), Rb at (0.3756, 0.8855, 0.3615), In at (0.0763, 0.4993, 0.3462), In at (0.3108, 0.3340, 0.0444) and Sn at (0.2957, 0.6520, 0.7586).

(6)
DFT (PBE-GGA) results for an optimized crystal structure of La11Cd9Au4.

The energy of formation comes out at -12.356 eV per formula unit.

The structure belongs to space group Cmmm (No. 65); the cell edges are 15.3373, 23.0879 and 3.8919 Å and the angles 90.00°, 90.00° and 90.00°. The distinct sites, in fractional coordinates, are La at (0.0000, 0.0000, 0.0000), La at (0.0000, 0.1645, 0.0000), La at (0.0000, 0.3710, 0.0000), La at (0.2003, 0.5000, 0.0000), La at (0.2376, 0.1752, 0.0000), Cd at (0.0000, 0.5000, 0.5000), Cd at (0.1016, 0.2642, 0.5000), Cd at (0.1417, 0.0718, 0.5000) and Au at (0.1526, 0.3997, 0.5000).